{"formula": "K3ClO", "functional": "PBEsol", "state": "optimized geometry", "lattice": [[7.1252, 0.0000, 0.0000], [0.0000, 7.2973, 0.0000], [0.0000, 0.0000, 10.1434]], "species": ["O", "Cl", "K", "K", "K", "K", "K", "Cl", "K", "K", "K", "K", "K", "O", "O", "K", "Cl", "O", "K", "Cl"], "fractional_positions": [[0.0000, 0.5000, 0.0000], [0.5129, 0.5485, 0.2500], [0.0767, 0.4748, 0.2500], [0.4233, 0.9748, 0.2500], [0.2920, 0.7091, 0.9591], [0.2080, 0.2091, 0.9591], [0.2920, 0.7091, 0.5409], [0.0129, 0.9515, 0.7500], [0.2080, 0.2091, 0.5409], [0.7920, 0.7909, 0.4591], [0.7920, 0.7909, 0.0409], [0.7080, 0.2909, 0.4591], [0.9233, 0.5252, 0.7500], [0.0000, 0.5000, 0.5000], [0.5000, 0.0000, 0.0000], [0.7080, 0.2909, 0.0409], [0.9871, 0.0485, 0.2500], [0.5000, 0.0000, 0.5000], [0.5767, 0.0252, 0.7500], [0.4871, 0.4515, 0.7500]], "vol_a3_per_atom": 26.370, "formation_energy_uncorrected_ev_per_fu": -7.0}

***

{"formula": "K3ClO", "functional": "PBEsol", "state": "optimized geometry", "lattice": [[-3.1913, -3.8478, 1.4436], [5.4902, -3.4656, 2.8997], [-1.1835, 3.3021, 6.1852]], "species": ["O", "K", "K", "O", "Cl", "Cl", "K", "K", "K", "K"], "fractional_positions": [[0.0000, 0.5071, 0.0070], [0.5000, 0.5080, 0.0074], [0.0000, 0.1954, 0.8190], [0.0000, 0.0070, 0.5071], [0.5000, 0.5070, 0.5070], [0.5000, 0.0074, 0.0074], [0.0000, 0.8190, 0.1954], [0.5000, 0.0074, 0.5080], [0.0000, 0.3186, 0.3186], [0.0000, 0.6952, 0.6952]], "vol_a3_per_atom": 26.308, "formation_energy_uncorrected_ev_per_fu": -7.0}

***

{"formula": "K2OsCl4O2", "functional": "PBEsol", "state": "optimized geometry", "lattice": [[-5.6579, -1.0432, 3.1034], [4.4717, -4.7221, 0.6603], [3.5672, 4.9836, 2.2737]], "species": ["Cl", "O", "K", "O", "Os", "Cl", "Cl", "Cl", "K"], "fractional_positions": [[0.4835, 0.2417, 0.2417], [0.0000, 0.2044, 0.2044], [0.5000, 0.2500, 0.7500], [0.0000, 0.7956, 0.7956], [0.0000, 0.0000, 0.0000], [0.0000, 0.7583, 0.2417], [0.5165, 0.7583, 0.7583], [0.0000, 0.2417, 0.7583], [0.5000, 0.7500, 0.2500]], "vol_a3_per_atom": 23.217, "formation_energy_uncorrected_ev_per_fu": -11.2}

***

{"formula": "K2ReCl5O", "functional": "PBEsol", "state": "optimized geometry", "lattice": [[-4.6659, 3.8097, -2.9879], [-5.4199, -8.1240, -1.8946], [-6.1715, 1.4412, 11.4751]], "species": ["K", "Cl", "Re", "O", "O", "K", "Cl", "K", "Cl", "Cl", "Re", "Cl", "Cl", "Cl", "Cl", "O", "Cl", "Cl", "K", "Cl", "K", "Cl", "K", "Cl", "Cl", "Cl", "Cl", "K", "Cl", "Cl", "Re", "Re", "O", "Cl", "Cl", "K"], "fractional_positions": [[0.3205, 0.0017, 0.8605], [0.4051, 0.2500, 0.2470], [0.6751, 0.7500, 0.4028], [0.4811, 0.2500, 0.4961], [0.5189, 0.7500, 0.5039], [0.6795, 0.5017, 0.1395], [0.5949, 0.7500, 0.7530], [0.1795, 0.0017, 0.3605], [0.3047, 0.4874, 0.6107], [0.0243, 0.2500, 0.5024], [0.8249, 0.7500, 0.9028], [0.6953, 0.5126, 0.3893], [0.5243, 0.7500, 0.9976], [0.4757, 0.2500, 0.0024], [0.1953, 0.0126, 0.1107], [0.9811, 0.7500, 0.0039], [0.0949, 0.2500, 0.7470], [0.4270, 0.7500, 0.2752], [0.8205, 0.9983, 0.6395], [0.3047, 0.0126, 0.6107], [0.6795, 0.9983, 0.1395], [0.9051, 0.7500, 0.2530], [0.1795, 0.4983, 0.3605], [0.9270, 0.2500, 0.2248], [0.6953, 0.9874, 0.3893], [0.8047, 0.5126, 0.8893], [0.9757, 0.7500, 0.4976], [0.3205, 0.4983, 0.8605], [0.1953, 0.4874, 0.1107], [0.0730, 0.7500, 0.7752], [0.1751, 0.2500, 0.0972], [0.3249, 0.2500, 0.5972], [0.0189, 0.2500, 0.9961], [0.5730, 0.2500, 0.7248], [0.8047, 0.9874, 0.8893], [0.8205, 0.5017, 0.6395]], "vol_a3_per_atom": 24.357, "formation_energy_uncorrected_ev_per_fu": -12.1}

***

{"formula": "K2RuCl5O", "functional": "PBEsol", "state": "optimized geometry", "lattice": [[-4.5403, 4.6358, -1.6566], [-2.9555, -5.5501, -7.4312], [-8.6970, -5.7477, 7.7516]], "species": ["K", "K", "Ru", "Cl", "K", "Cl", "O", "K", "K", "Cl", "Cl", "Cl", "Cl", "Cl", "Cl", "K", "K", "Cl", "K", "Cl", "O", "Cl", "Cl", "Cl", "Cl", "Ru", "Cl", "Ru", "Cl", "Cl", "O", "Cl", "Cl", "Ru", "O", "Cl"], "fractional_positions": [[0.3311, 0.0011, 0.8588], [0.6689, 0.9989, 0.1412], [0.8320, 0.7500, 0.9036], [0.5843, 0.2500, 0.7206], [0.8311, 0.9989, 0.6412], [0.1809, 0.4900, 0.1058], [0.4877, 0.2500, 0.4930], [0.3311, 0.4989, 0.8588], [0.6689, 0.5011, 0.1412], [0.3191, 0.0100, 0.6058], [0.4157, 0.7500, 0.2794], [0.6051, 0.7500, 0.7556], [0.8949, 0.7500, 0.2556], [0.0370, 0.2500, 0.4982], [0.4630, 0.2500, 0.9982], [0.1689, 0.4989, 0.3588], [0.1689, 0.0011, 0.3588], [0.9157, 0.2500, 0.2206], [0.8311, 0.5011, 0.6412], [0.5370, 0.7500, 0.0018], [0.9877, 0.7500, 0.0070], [0.3191, 0.4900, 0.6058], [0.0843, 0.7500, 0.7794], [0.3949, 0.2500, 0.2444], [0.6809, 0.9900, 0.3942], [0.6680, 0.7500, 0.4036], [0.9630, 0.7500, 0.5018], [0.1680, 0.2500, 0.0964], [0.8191, 0.5100, 0.8942], [0.1809, 0.0100, 0.1058], [0.0123, 0.2500, 0.9930], [0.1051, 0.2500, 0.7444], [0.6809, 0.5100, 0.3942], [0.3320, 0.2500, 0.5964], [0.5123, 0.7500, 0.5070], [0.8191, 0.9900, 0.8942]], "vol_a3_per_atom": 23.525, "dos_at_fermi_per_ev_cell": 17.013, "formation_energy_uncorrected_ev_per_fu": -10.7}

***

{"formula": "KOs2Cl2", "functional": "PBEsol", "state": "optimized geometry", "lattice": [[-1.2858, 1.7668, 2.7388], [2.2375, -1.6623, 2.1228], [5.4586, 6.2784, -3.7286]], "species": ["K", "Os", "Cl", "Cl", "Os"], "fractional_positions": [[0.0000, 0.0000, 0.0000], [0.7500, 0.2500, 0.5000], [0.3960, 0.3960, 0.7919], [0.6040, 0.6040, 0.2081], [0.2500, 0.7500, 0.5000]], "vol_a3_per_atom": 21.541, "dos_at_fermi_per_ev_cell": 2.413, "formation_energy_uncorrected_ev_per_fu": 2.3}

***

{"formula": "KOs2PbCl", "functional": "PBEsol", "state": "optimized geometry", "lattice": [[-0.4875, 5.0353, -0.2267], [-4.6096, -0.3533, 2.0664], [2.4095, 0.4790, 5.4569]], "species": ["Os", "Os", "Cl", "Pb", "K"], "fractional_positions": [[0.5000, 0.0000, 0.0000], [0.0000, 0.5000, 0.0000], [0.0000, 0.0000, 0.5000], [0.0000, 0.0000, 0.0000], [0.5000, 0.5000, 0.5000]], "vol_a3_per_atom": 30.692, "dos_at_fermi_per_ev_cell": 5.247, "formation_energy_uncorrected_ev_per_fu": 8.8}

***

{"formula": "KOsWCl2", "functional": "PBEsol", "state": "optimized geometry", "lattice": [[-3.3593, -2.7456, -2.0584], [3.5104, -1.9709, -3.1000], [0.9276, -3.6733, 3.3858]], "species": ["Cl", "Os", "K", "Cl", "W"], "fractional_positions": [[0.0000, 0.0000, 0.5000], [0.0000, 0.0000, 0.0000], [0.5000, 0.5000, 0.5000], [0.0000, 0.5000, 0.0000], [0.5000, 0.0000, 0.0000]], "vol_a3_per_atom": 24.796, "dos_at_fermi_per_ev_cell": 4.449, "formation_energy_uncorrected_ev_per_fu": 4.4}